VASP calculation (PBE) on a relaxed VFeGeIr2 crystal.

Computed properties:
The value obtained for the energy of formation from the pure elements is 1.108 eV per atom. The value obtained for the density is 10.94 g/cm3. For the energy, the calculation gives -6.876 eV per atom. The space group is P4/mmm (123).

Geometry as POSCAR:
```
VFeGeIr2
1.0
-1.093 3.511 2.550
-3.990 -1.493 0.346
1.175 -2.292 3.660
Ge Ir Fe V
1 2 1 1
direct
0.000 0.000 0.000
0.000 0.000 0.500
0.500 0.000 0.000
0.000 0.500 0.000
0.500 0.500 0.500
```